Record 1
# TiNb14Al

A relaxed TiNb14Al crystal (PBE, Alexandria).

The calculation puts the formation energy from the elements at -49 meV/atom.

a b c (Å): 6.620 6.620 6.587
angles (deg): 90.00 90.00 90.00
Positions (direct):
Ti 0.375 0.375 0.500
Nb 0.875 0.875 0.000
Nb 0.375 0.375 0.000
Nb 0.875 0.375 0.500
Nb 0.875 0.375 0.000
Nb 0.375 0.875 0.500
Nb 0.375 0.875 0.000
Nb 0.623 0.127 0.247
Nb 0.623 0.127 0.753
Nb 0.127 0.623 0.247
Nb 0.127 0.623 0.753
Nb 0.623 0.623 0.247
Nb 0.623 0.623 0.753
Nb 0.127 0.127 0.247
Nb 0.127 0.127 0.753
Al 0.875 0.875 0.500



Record 2
# Tb7SmHg2

A relaxed Tb7SmHg2 crystal (PBE, Alexandria).

The calculation puts the formation energy from the elements at 281 meV/atom.

a b c (Å): 5.342 8.902 8.902
angles (deg): 118.32 90.00 90.00
Last column: magnetic moment on the atom in μB.
Positions (direct):
Tb 0.000 0.763 0.237  0.14
Tb 0.000 0.237 0.763  0.14
Tb 0.500 0.061 0.304  0.20
Tb 0.500 0.939 0.696  0.20
Tb 0.500 0.304 0.061  0.20
Tb 0.500 0.696 0.939  0.20
Tb 0.500 0.500 0.500  0.11
Sm 0.000 0.000 0.000  0.15
Hg 0.500 0.694 0.306  0.02
Hg 0.500 0.306 0.694  0.02



Record 3
# BaU4Ir3S12

A relaxed BaU4Ir3S12 crystal (PBE, Alexandria).

The value obtained for the formation energy (no corrections) is -0.904 eV per atom.

a b c (Å): 8.405 8.405 8.405
angles (deg): 109.47 109.47 109.47
Last column: magnetic moment on the atom in μB.
Positions (direct):
Ba 0.000 0.000 0.000  0.00
U 0.500 0.000 0.000  1.60
U 0.500 0.500 0.500  1.60
U 0.000 0.500 0.000  1.60
U 0.000 0.000 0.500  1.60
Ir 0.000 0.500 0.500  -0.29
Ir 0.500 0.500 0.000  -0.29
Ir 0.500 0.000 0.500  -0.29
S 0.318 0.841 0.160  -0.06
S 0.682 0.159 0.840  -0.06
S 0.682 0.841 0.523  -0.06
S 0.840 0.682 0.159  -0.06
S 0.841 0.160 0.318  -0.06
S 0.159 0.477 0.318  -0.06
S 0.477 0.318 0.159  -0.06
S 0.159 0.840 0.682  -0.06
S 0.318 0.159 0.477  -0.06
S 0.160 0.318 0.841  -0.06
S 0.841 0.523 0.682  -0.06
S 0.523 0.682 0.841  -0.06



Record 4
# KYP2

A relaxed KYP2 crystal (PBE, Alexandria).

The calculation puts the formation energy from the elements at -542 meV/atom.

a b c (Å): 7.537 7.537 7.537
angles (deg): 33.18 33.18 33.18
Positions (direct):
K 0.750 0.750 0.750
P 0.977 0.977 0.977
P 0.523 0.523 0.523
Y 0.250 0.250 0.250



Record 5
# Ca4Y3TmTe8

A relaxed Ca4Y3TmTe8 crystal (PBE, Alexandria).

The value obtained for the formation energy (no corrections) is -1.454 eV per atom.

a b c (Å): 8.776 8.904 8.776
angles (deg): 119.53 120.00 90.00
Positions (direct):
Ca 0.500 0.000 0.000
Ca 0.500 0.000 0.500
Ca 0.000 0.000 0.000
Ca 0.000 0.000 0.500
Y 0.500 0.500 0.000
Y 0.500 0.500 0.500
Y 0.000 0.500 0.500
Tm 0.000 0.500 0.000
Te 0.247 0.744 0.997
Te 0.247 0.744 0.493
Te 0.251 0.254 0.503
Te 0.751 0.744 0.997
Te 0.249 0.256 0.003
Te 0.749 0.746 0.497
Te 0.753 0.256 0.507
Te 0.753 0.256 0.003



Record 6
# PmPrBiTe

A relaxed PmPrBiTe crystal (PBE, Alexandria).

The value obtained for the formation energy (no corrections) is -0.995 eV per atom.

a b c (Å): 5.573 5.573 5.573
angles (deg): 60.00 60.00 60.00
Last column: magnetic moment on the atom in μB.
Positions (direct):
Pr 0.000 0.000 0.000  0.09
Te 0.750 0.750 0.750  -0.01
Bi 0.250 0.250 0.250  -0.01
Pm 0.500 0.500 0.500  0.09



no.,Fermi-level density of states (states/eV per cell)
1,21.136
2,20.364
3,18.394
4,2.713
5,6.246
6,3.719